The following is a PBE-GGA calculation of crystalline TbSm3Ru8 at its relaxed geometry, from the Alexandria database.

It has space group R3m (No. 160, hexagonal axes), with a = 5.3720 Å, b = 5.3720 Å, c = 26.4791 Å, α = 90.00°, β = 90.00° and γ = 120.00°. Symmetry generates all atoms from Tb at (0.0000, 0.0000, 0.0000), Sm at (0.0000, 0.0000, 0.1247), Sm at (0.0000, 0.0000, 0.4998), Sm at (0.0000, 0.0000, 0.6247), Ru at (0.0000, 0.0000, 0.3162), Ru at (0.0000, 0.0000, 0.8160), Ru at (0.1691, 0.3383, 0.8968) and Ru at (0.1703, 0.3407, 0.3957).

As for the uncorrected energy: -7.968 eV per atom. For the density of states at the Fermi level, the calculation gives 15.21 states/eV/f.u. The volume comes out at 18.38 Å³ per atom. As for the energy of formation from the pure elements: -218 meV per atom.

***

The following is a PBE-GGA calculation of crystalline Cd2HPdPb at its relaxed geometry, from the Alexandria database.

It has space group P4/mmm (No. 123), with a = 5.486 Å, b = 5.486 Å, c = 3.449 Å, α = 90.00°, β = 90.00° and γ = 90.00°. Symmetry generates all atoms from Cd at (0.000, 0.500, 0.000), H at (0.000, 0.000, 0.500), Pd at (0.000, 0.000, 0.000) and Pb at (0.500, 0.500, 0.500).

As for the uncorrected energy: -2.732 eV per atom. For the density of states at the Fermi level, the calculation gives 2.04 states/eV/f.u. The volume comes out at 20.75 Å³ per atom.

***

The following is a PBE-GGA calculation of crystalline SrAsW2 at its relaxed geometry, from the Alexandria database.

It has space group P4mm (No. 99), with a = 3.322 Å, b = 3.322 Å, c = 7.551 Å, α = 90.00°, β = 90.00° and γ = 90.00°. Symmetry generates all atoms from Sr at (0.000, 0.000, 0.000), As at (0.500, 0.500, 0.694), W at (0.000, 0.000, 0.499) and W at (0.500, 0.500, 0.327).

As for the uncorrected energy: -7.794 eV per atom. For the density of states at the Fermi level, the calculation gives 3.08 states/eV/f.u. The volume comes out at 20.83 Å³ per atom. As for the energy of formation from the pure elements: 265 meV per atom.

***

The following is a PBE-GGA calculation of crystalline CaGa2W at its relaxed geometry, from the Alexandria database.

It has space group I-42d (No. 122), with a = 4.707 Å, b = 4.707 Å, c = 17.692 Å, α = 90.00°, β = 90.00° and γ = 90.00°. Symmetry generates all atoms from Ca at (0.000, 0.000, 0.000), Ga at (0.113, 0.250, 0.625) and W at (0.000, 0.000, 0.500).

As for the uncorrected energy: -4.686 eV per atom. For the density of states at the Fermi level, the calculation gives 1.49 states/eV/f.u. The volume comes out at 24.50 Å³ per atom. As for the energy of formation from the pure elements: 566 meV per atom.

***

The following is a PBE-GGA calculation of crystalline CeNd5Pb6 at its relaxed geometry, from the Alexandria database.

It has space group Immm (No. 71), with a = 5.110 Å, b = 9.199 Å, c = 15.421 Å, α = 90.00°, β = 90.00° and γ = 90.00°. Symmetry generates all atoms from Ce at (0.000, 0.000, 0.000), Nd at (0.000, 0.000, 0.334), Nd at (0.000, 0.500, 0.000), Nd at (0.000, 0.500, 0.333), Pb at (0.000, 0.250, 0.167) and Pb at (0.000, 0.250, 0.500).

As for the uncorrected energy: -4.828 eV per atom. For the density of states at the Fermi level, the calculation gives 16.72 states/eV/f.u. The volume comes out at 30.20 Å³ per atom. As for the energy of formation from the pure elements: -493 meV per atom.

***

The following is a PBE-GGA calculation of crystalline Ca3Cu4Ni4 at its relaxed geometry, from the Alexandria database.

It has space group I-43m (No. 217), with a = 7.281 Å, b = 7.281 Å, c = 7.281 Å, α = 90.00°, β = 90.00° and γ = 90.00°. Symmetry generates all atoms from Ca at (0.000, 0.000, 0.500), Cu at (0.198, 0.198, 0.802) and Ni at (0.117, 0.117, 0.117).

As for the uncorrected energy: -4.232 eV per atom. For the density of states at the Fermi level, the calculation gives 5.86 states/eV/f.u. The volume comes out at 17.55 Å³ per atom. As for the energy of formation from the pure elements: -95 meV per atom.

***

The following is a PBE-GGA calculation of crystalline PrHf2RhN4 at its relaxed geometry, from the Alexandria database.

It has space group Cmcm (No. 63), with a = 3.234 Å, b = 11.353 Å, c = 11.470 Å, α = 90.00°, β = 90.00° and γ = 90.00°. Symmetry generates all atoms from Pr at (0.000, 0.115, 0.250), Hf at (0.000, 0.369, 0.050), Rh at (0.000, 0.150, 0.750), N at (0.000, 0.000, 0.000), N at (0.000, 0.268, 0.604) and N at (0.000, 0.457, 0.250).

As for the uncorrected energy: -9.302 eV per atom. For the density of states at the Fermi level, the calculation gives 2.25 states/eV/f.u. The volume comes out at 13.16 Å³ per atom. Its formation energy without anion corrections is -9.08 eV/f.u.

***

The following is a PBE-GGA calculation of crystalline BeTc2Hg at its relaxed geometry, from the Alexandria database.

It has space group R-3m (No. 166, hexagonal axes), with a = 2.8149 Å, b = 2.8149 Å, c = 26.0103 Å, α = 90.00°, β = 90.00° and γ = 120.00°. Symmetry generates all atoms from Be at (0.0000, 0.0000, 0.0000), Tc at (0.0000, 0.0000, 0.2614) and Hg at (0.0000, 0.0000, 0.5000).

As for the uncorrected energy: -5.670 eV per atom. For the density of states at the Fermi level, the calculation gives 6.61 states/eV/f.u. The volume comes out at 14.87 Å³ per atom. As for the energy of formation from the pure elements: 520 meV per atom. As for the relative energy among the computed polymorphs: 384 meV per atom.

***

The following is a PBE-GGA calculation of crystalline YCuRe2 at its relaxed geometry, from the Alexandria database.

It has space group Fm-3m (No. 225), with a = 6.441 Å, b = 6.441 Å, c = 6.441 Å, α = 90.00°, β = 90.00° and γ = 90.00°. Symmetry generates all atoms from Y at (0.000, 0.000, 0.000), Cu at (0.000, 0.000, 0.500) and Re at (0.250, 0.250, 0.250).

As for the uncorrected energy: -7.936 eV per atom. For the density of states at the Fermi level, the calculation gives 6.65 states/eV/f.u. The volume comes out at 16.70 Å³ per atom. As for the energy of formation from the pure elements: 928 meV per atom. As for the relative energy among the computed polymorphs: 845 meV per atom.

***

The following is a PBE-GGA calculation of crystalline Tb7Pr2Dy3 at its relaxed geometry, from the Alexandria database.

It has space group P2/m (No. 10), with a = 6.367 Å, b = 3.535 Å, c = 17.552 Å, α = 90.00°, β = 96.14° and γ = 90.00°. Symmetry generates all atoms from Tb at (0.000, 0.000, 0.000), Tb at (0.228, 0.500, 0.166), Tb at (0.257, 0.500, 0.499), Tb at (0.275, 0.000, 0.837), Pr at (0.059, 0.500, 0.673), Dy at (0.452, 0.000, 0.342) and Dy at (0.500, 0.500, 0.000).

As for the uncorrected energy: -4.573 eV per atom. For the density of states at the Fermi level, the calculation gives 17.58 states/eV/f.u. The volume comes out at 32.74 Å³ per atom. As for the energy of formation from the pure elements: 75 meV per atom. As for the relative energy among the computed polymorphs: 0 meV per atom.

***

The following is a PBE-GGA calculation of crystalline TmZn9In2 at its relaxed geometry, from the Alexandria database.

It has space group R-3m (No. 166, hexagonal axes), with a = 5.4059 Å, b = 5.4059 Å, c = 25.2440 Å, α = 90.00°, β = 90.00° and γ = 120.00°. Symmetry generates all atoms from Tm at (0.0000, 0.0000, 0.0000), Zn at (0.0000, 0.0000, 0.3323), Zn at (0.0000, 0.0000, 0.5000), Zn at (0.0016, 0.5008, 0.9174) and In at (0.0000, 0.0000, 0.1377).

As for the uncorrected energy: -1.871 eV per atom. For the density of states at the Fermi level, the calculation gives 3.80 states/eV/f.u. The volume comes out at 17.75 Å³ per atom. As for the energy of formation from the pure elements: -86 meV per atom.

***

The following is a PBE-GGA calculation of crystalline Li3CuPd at its relaxed geometry, from the Alexandria database.

It has space group P-1 (No. 2), with a = 4.917 Å, b = 4.964 Å, c = 6.759 Å, α = 70.95°, β = 78.73° and γ = 63.47°. Symmetry generates all atoms from Li at (0.000, 0.000, 0.000), Li at (0.117, 0.486, 0.782), Li at (0.186, 0.026, 0.592), Li at (0.500, 0.500, 0.000), Cu at (0.334, 0.477, 0.393) and Pd at (0.383, 0.011, 0.210).

As for the uncorrected energy: -3.216 eV per atom. For the density of states at the Fermi level, the calculation gives 1.07 states/eV/f.u. The volume comes out at 13.93 Å³ per atom. As for the energy of formation from the pure elements: -210 meV per atom. As for the relative energy among the computed polymorphs: 0 meV per atom.